(1)
An optimized crystal structure of Ta2InPb. Source: Alexandria, functional GGA-PBE.

POSCAR file:
```
Ta2InPb
1.0
-0.815 -1.553 -2.484
-0.044 -1.788 2.459
-10.288 2.632 1.729
Ta In Pb
2 1 1
Direct
0.000 0.000 0.029
0.500 0.500 0.226
0.000 0.000 0.459
0.500 0.500 0.786
```

Calculated values
The calculated total energy is -28.98 eV per formula unit. Its formation energy is 1.17 eV/f.u. As for the crystal system: orthorhombic. For the calculated volume, the calculation gives 23.237 A^3/atom. The symmetry is Cmm2.

(2)
An optimized crystal structure of TaInTc2Pb. Source: Alexandria, functional GGA-PBE.

POSCAR file:
```
TaInTc2Pb
1.0
-3.053 -1.137 -3.588
4.234 -1.373 -3.168
-0.243 -4.551 1.649
Tc Pb Ta In
2 1 1 1
Direct
0.000 0.000 0.500
0.500 0.000 0.000
0.000 0.500 0.000
0.000 0.000 0.000
0.500 0.500 0.500
```

Calculated values
The calculated total energy is -31.96 eV per formula unit. Its formation energy is 7.07 eV/f.u. As for the crystal system: tetragonal. For the calculated volume, the calculation gives 25.666 A^3/atom. The symmetry is P4/mmm.

(3)
An optimized crystal structure of Tb4In3Pb. Source: Alexandria, functional GGA-PBE.

POSCAR file:
```
Tb4In3Pb
1.0
5.575 0.000 0.000
0.000 7.149 0.000
0.000 0.000 10.923
Tb In Pb
8 6 2
Direct
0.500 0.247 0.000
0.500 0.247 0.500
0.917 0.752 0.250
0.500 0.753 0.000
0.917 0.248 0.250
0.500 0.753 0.500
0.083 0.248 0.750
0.083 0.752 0.750
0.000 0.000 0.000
0.413 0.500 0.250
0.407 0.000 0.250
0.000 0.000 0.500
0.593 0.000 0.750
0.587 0.500 0.750
0.000 0.500 0.000
0.000 0.500 0.500
```

Calculated values
The calculated total energy is -34.07 eV per formula unit. Its formation energy is -3.62 eV/f.u. As for the crystal system: orthorhombic. For the calculated volume, the calculation gives 27.213 A^3/atom. The symmetry is Pmma.

(4)
An optimized crystal structure of Tb4InPb. Source: Alexandria, functional GGA-PBE.

POSCAR file:
```
Tb4InPb
1.0
-0.465 4.698 -2.220
-2.700 3.765 2.399
5.996 5.388 3.989
Tb In Pb
4 1 1
Direct
0.877 0.877 0.370
0.123 0.123 0.630
0.373 0.373 0.882
0.627 0.627 0.118
0.000 0.000 0.000
0.500 0.500 0.500
```

Calculated values
The calculated total energy is -25.95 eV per formula unit. Its formation energy is -0.98 eV/f.u. As for the crystal system: monoclinic. For the calculated volume, the calculation gives 33.272 A^3/atom. The symmetry is C2/m.

(5)
An optimized crystal structure of Tb3In2Pb. Source: Alexandria, functional GGA-PBE.

POSCAR file:
```
Tb3In2Pb
1.0
3.848 0.000 0.000
0.000 3.848 0.000
0.000 0.000 11.160
Tb In Pb
3 2 1
Direct
0.000 0.000 0.000
0.000 0.000 0.329
0.000 0.000 0.671
0.500 0.500 0.162
0.500 0.500 0.838
0.500 0.500 0.500
```

Calculated values
The calculated total energy is -25.74 eV per formula unit. Its formation energy is -2.66 eV/f.u. As for the relative energy among the computed polymorphs: 2 kJ/mol of formula units. As for the crystal system: tetragonal. For the calculated volume, the calculation gives 27.534 A^3/atom. The symmetry is P4/mmm.

(6)
An optimized crystal structure of Tb8InPb5. Source: Alexandria, functional GGA-PBE.

POSCAR file:
```
Tb8InPb5
1.0
7.714 0.000 -2.683
-3.835 6.669 -2.742
-0.045 0.000 8.167
Tb Pb In
8 5 1
Direct
0.767 0.249 0.375
0.624 0.889 0.872
0.128 0.751 0.016
0.265 0.249 0.376
0.482 0.608 0.233
0.126 0.751 0.518
0.984 0.111 0.735
0.625 0.392 0.874
0.874 0.874 0.250
0.000 0.376 0.126
0.750 0.624 0.624
0.376 0.126 0.000
0.500 0.000 0.500
0.250 0.500 0.750
```

Calculated values
The calculated total energy is -65.40 eV per formula unit. Its formation energy is -7.08 eV/f.u. As for the crystal system: tetragonal. For the calculated volume, the calculation gives 29.957 A^3/atom. The symmetry is I-4.

(7)
An optimized crystal structure of Tb5In4Pb. Source: Alexandria, functional GGA-PBE.

POSCAR file:
```
Tb5In4Pb
1.0
3.615 0.000 0.000
0.000 3.615 0.000
0.000 0.000 20.802
Tb In Pb
5 4 1
Direct
0.500 0.500 0.500
0.500 0.500 0.896
0.500 0.500 0.104
0.500 0.500 0.302
0.500 0.500 0.698
0.000 0.000 0.204
0.000 0.000 0.599
0.000 0.000 0.401
0.000 0.000 0.796
0.000 0.000 0.000
```

Calculated values
The calculated total energy is -42.44 eV per formula unit. Its formation energy is -4.63 eV/f.u. As for the crystal system: tetragonal. For the calculated volume, the calculation gives 27.186 A^3/atom. The symmetry is P4/mmm.

(8)
An optimized crystal structure of Tb4In2Pb. Source: Alexandria, functional GGA-PBE.

POSCAR file:
```
Tb4In2Pb
1.0
5.053 0.000 1.579
2.280 4.510 1.579
-0.102 -0.063 9.202
Tb In Pb
4 2 1
Direct
0.381 0.381 0.857
0.619 0.619 0.143
0.872 0.872 0.383
0.128 0.128 0.617
0.754 0.754 0.738
0.246 0.246 0.262
0.000 0.000 0.000
```

Calculated values
The calculated total energy is -29.79 eV per formula unit. Its formation energy is -2.09 eV/f.u. As for the crystal system: trigonal. For the calculated volume, the calculation gives 30.099 A^3/atom. The symmetry is R-3m.

(9)
An optimized crystal structure of Tb6In5Pb. Source: Alexandria, functional GGA-PBE.

POSCAR file:
```
Tb6In5Pb
1.0
-4.806 0.381 8.731
4.830 -1.065 4.198
3.365 4.902 2.385
Tb In Pb
6 5 1
Direct
0.254 0.578 0.336
0.746 0.086 0.336
0.746 0.422 0.664
0.751 0.747 0.000
0.249 0.253 0.000
0.254 0.914 0.664
0.000 0.670 0.660
0.000 0.330 0.340
0.500 0.163 0.674
0.500 0.837 0.326
0.500 0.500 0.000
0.000 0.000 0.000
```

Calculated values
The calculated total energy is -49.18 eV per formula unit. Its formation energy is -4.00 eV/f.u. As for the relative energy among the computed polymorphs: 144 kJ/mol of formula units. As for the crystal system: monoclinic. For the calculated volume, the calculation gives 29.176 A^3/atom. The symmetry is C2/m.

(10)
An optimized crystal structure of Tb2InPb2. Source: Alexandria, functional GGA-PBE.

POSCAR file:
```
Tb2InPb2
1.0
-3.392 -1.735 5.679
2.593 -3.206 -5.456
9.268 1.260 4.815
Pb Tb In
4 4 2
Direct
0.625 0.375 0.750
0.625 0.375 0.250
0.625 0.875 0.250
0.125 0.375 0.750
0.851 0.149 0.000
0.149 0.851 0.000
0.399 0.601 0.500
0.101 0.899 0.500
0.500 0.500 0.000
0.750 0.250 0.500
```

Calculated values
The calculated total energy is -19.52 eV per formula unit. Its formation energy is -0.11 eV/f.u. As for the relative energy among the computed polymorphs: 69 kJ/mol of formula units. As for the crystal system: orthorhombic. For the calculated volume, the calculation gives 32.576 A^3/atom. The symmetry is Fddd.

(11)
An optimized crystal structure of Tb3InPb2. Source: Alexandria, functional GGA-PBE.

POSCAR file:
```
Tb3InPb2
1.0
6.408 0.000 0.000
0.000 6.432 -0.051
-3.204 -1.656 8.263
Tb Pb In
6 4 2
Direct
0.627 0.250 0.000
0.373 0.750 0.000
0.947 0.406 0.664
0.717 0.906 0.664
0.283 0.094 0.336
0.053 0.594 0.336
0.551 0.569 0.326
0.449 0.431 0.674
0.225 0.931 0.674
0.775 0.069 0.326
0.880 0.750 0.000
0.120 0.250 0.000
```

Calculated values
The calculated total energy is -26.68 eV per formula unit. Its formation energy is -2.63 eV/f.u. As for the relative energy among the computed polymorphs: 0 kJ/mol of formula units. As for the crystal system: monoclinic. For the calculated volume, the calculation gives 28.334 A^3/atom. The symmetry is C2/c.

(12)
An optimized crystal structure of Tb8In2Pb. Source: Alexandria, functional GGA-PBE.

POSCAR file:
```
Tb8In2Pb
1.0
4.918 0.000 0.000
0.000 8.126 0.103
-2.459 -3.143 7.986
Tb In Pb
8 2 1
Direct
0.143 0.203 0.287
0.319 0.063 0.638
0.946 0.274 0.893
0.054 0.726 0.107
0.857 0.797 0.713
0.404 0.545 0.807
0.681 0.937 0.362
0.596 0.455 0.193
0.225 0.647 0.449
0.775 0.353 0.551
0.500 0.000 0.000
```

Calculated values
The calculated total energy is -49.15 eV per formula unit. Its formation energy is -2.93 eV/f.u. As for the crystal system: monoclinic. For the calculated volume, the calculation gives 29.159 A^3/atom. The symmetry is C2/m.